Crystalline Th2Si5Os3 at its relaxed geometry. Source: Alexandria via LeMat-Bulk, functional PBE-GGA.

Lattice parameters (Å, degrees): 9.941 11.928 5.885 90.00 90.00 90.00
Space group Ibam (No. 72)
Inequivalent atoms, fractional coordinates:
Th (0.231, 0.132, 0.000) [8 per cell]
Si (0.000, 0.000, 0.250) [4 per cell]
Si (0.000, 0.281, 0.250) [8 per cell]
Si (0.154, 0.398, 0.000) [8 per cell]
Os (0.000, 0.500, 0.250) [4 per cell]
Os (0.111, 0.145, 0.500) [8 per cell]

Values from the calculation:
- Crystal system: orthorhombic
- E_form (uncorrected): -744 meV/atom
- Size of the total moment: 0.00 μB/cell